# PuZn8Pt4

A relaxed PuZn8Pt4 crystal (GGA-PBE, Alexandria via LeMat-Bulk).

```
data_PuZn8Pt4
_chemical_formula_sum 'Pu2 Zn16 Pt8'
_cell_length_a 8.8260
_cell_length_b 8.8260
_cell_length_c 5.4931
_cell_angle_alpha 90.00
_cell_angle_beta 90.00
_cell_angle_gamma 90.00
_symmetry_space_group_name_H-M 'I 4/m m m'
_symmetry_Int_Tables_number 139
_symmetry_space_group_name_Hall '-I 4 2'
loop_
_atom_site_label
_atom_site_type_symbol
_atom_site_fract_x
_atom_site_fract_y
_atom_site_fract_z
_atom_site_occupancy
Pu1 Pu 0.0000 0.0000 0.0000 1
Zn1 Zn 0.0000 0.2163 0.5000 1
Zn2 Zn 0.0000 0.3478 0.0000 1
Pt1 Pt 0.2500 0.2500 0.2500 1
```

Output
energy of formation: -10.13 kcal/mol of atoms
crystal system: tetragonal
raw total energy: -108.79 eV for the cell shown



# TcRuSe

A relaxed TcRuSe crystal (GGA-PBE, Alexandria via LeMat-Bulk).

```
data_TcRuSe
_chemical_formula_sum 'Tc1 Ru1 Se1'
_cell_length_a 2.9097
_cell_length_b 2.9097
_cell_length_c 6.1769
_cell_angle_alpha 90.00
_cell_angle_beta 90.00
_cell_angle_gamma 120.00
_symmetry_space_group_name_H-M 'P 3 m 1'
_symmetry_Int_Tables_number 156
loop_
_symmetry_equiv_pos_as_xyz
'x,y,z'
'-y,x-y,z'
'-x+y,-x,z'
'-y,-x,z'
'-x+y,y,z'
'x,x-y,z'
loop_
_atom_site_label
_atom_site_type_symbol
_atom_site_fract_x
_atom_site_fract_y
_atom_site_fract_z
_atom_site_occupancy
Tc1 Tc 0.0000 0.0000 0.0000 1
Ru1 Ru 0.3333 0.6667 0.3292 1
Se1 Se 0.6667 0.3333 0.6727 1
```

Output
crystal system: trigonal
E_form (uncorrected): 200 meV/atom
raw total energy: -22.53 eV for the cell shown
energy relative to the lowest polymorph listed for this composition: 37 meV per atom



# TaMoAs2Br

A relaxed TaMoAs2Br crystal (GGA-PBE, Alexandria via LeMat-Bulk).

```
data_TaMoAs2Br
_chemical_formula_sum 'Ta1 Mo1 As2 Br1'
_cell_length_a 4.8636
_cell_length_b 4.8636
_cell_length_c 5.0606
_cell_angle_alpha 90.00
_cell_angle_beta 90.00
_cell_angle_gamma 90.00
_symmetry_space_group_name_H-M 'P 4/m m m'
_symmetry_Int_Tables_number 123
_symmetry_space_group_name_Hall '-P 4 2'
loop_
_atom_site_label
_atom_site_type_symbol
_atom_site_fract_x
_atom_site_fract_y
_atom_site_fract_z
_atom_site_occupancy
Ta1 Ta 0.0000 0.0000 0.0000 1
Mo1 Mo 0.5000 0.5000 0.5000 1
As1 As 0.0000 0.5000 0.5000 1
Br1 Br 0.5000 0.5000 0.0000 1
```

Output
crystal system: tetragonal
E_form (uncorrected): 1157 meV/atom
raw total energy: -27.87 eV for the cell shown
energy relative to the lowest polymorph listed for this composition: 279 meV per atom



# AlZnTe2

A relaxed AlZnTe2 crystal (GGA-PBE, Alexandria via LeMat-Bulk).

```
data_AlZnTe2
_chemical_formula_sum 'Al2 Zn2 Te4'
_cell_length_a 7.1114
_cell_length_b 4.0963
_cell_length_c 7.1401
_cell_angle_alpha 90.00
_cell_angle_beta 109.70
_cell_angle_gamma 90.00
_symmetry_space_group_name_H-M 'C 1 2/m 1'
_symmetry_Int_Tables_number 12
loop_
_symmetry_equiv_pos_as_xyz
'x,y,z'
'-x,-y,-z'
'-x,y,-z'
'x,-y,z'
'x+1/2,y+1/2,z'
'-x+1/2,-y+1/2,-z'
'-x+1/2,y+1/2,-z'
'x+1/2,-y+1/2,z'
loop_
_atom_site_label
_atom_site_type_symbol
_atom_site_fract_x
_atom_site_fract_y
_atom_site_fract_z
_atom_site_occupancy
Al1 Al 0.0000 0.0000 0.0000 1
Zn1 Zn 0.0000 0.5000 0.5000 1
Te1 Te 0.2483 0.5000 0.2435 1
```

Output
crystal system: monoclinic
E_form (uncorrected): -256 meV/atom
raw total energy: -24.64 eV for the cell shown
energy relative to the lowest polymorph listed for this composition: 0 meV per atom



# NdMn2V

A relaxed NdMn2V crystal (GGA-PBE, Alexandria via LeMat-Bulk).

```
data_NdMn2V
_chemical_formula_sum 'Nd3 Mn6 V3'
_cell_length_a 3.0820
_cell_length_b 3.0820
_cell_length_c 26.7253
_cell_angle_alpha 90.00
_cell_angle_beta 90.00
_cell_angle_gamma 120.00
_symmetry_space_group_name_H-M 'R -3 m'
_symmetry_Int_Tables_number 166
_symmetry_space_group_name_Hall '-R 3 2"'
loop_
_atom_site_label
_atom_site_type_symbol
_atom_site_fract_x
_atom_site_fract_y
_atom_site_fract_z
_atom_site_occupancy
Nd1 Nd 0.0000 0.0000 0.0000 1
Mn1 Mn 0.0000 0.0000 0.2333 1
V1 V 0.0000 0.0000 0.5000 1
```

Output
energy of formation: 12.35 kcal/mol of atoms
crystal system: trigonal
raw total energy: -90.25 eV for the cell shown



# Y2SnS

A relaxed Y2SnS crystal (GGA-PBE, Alexandria via LeMat-Bulk).

```
data_Y2SnS
_chemical_formula_sum 'Y8 Sn4 S4'
_cell_length_a 7.3411
_cell_length_b 7.3411
_cell_length_c 7.3411
_cell_angle_alpha 90.00
_cell_angle_beta 90.00
_cell_angle_gamma 90.00
_symmetry_space_group_name_H-M 'F m -3 m'
_symmetry_Int_Tables_number 225
_symmetry_space_group_name_Hall '-F 4 2 3'
loop_
_atom_site_label
_atom_site_type_symbol
_atom_site_fract_x
_atom_site_fract_y
_atom_site_fract_z
_atom_site_occupancy
Y1 Y 0.2500 0.2500 0.2500 1
Sn1 Sn 0.0000 0.0000 0.0000 1
S1 S 0.0000 0.0000 0.5000 1
```

Output
crystal system: cubic
E_form (uncorrected): -892 meV/atom
raw total energy: -98.51 eV for the cell shown
energy relative to the lowest polymorph listed for this composition: 424 meV per atom



# PmAlCuPt2

A relaxed PmAlCuPt2 crystal (GGA-PBE, Alexandria via LeMat-Bulk).

```
data_PmAlCuPt2
_chemical_formula_sum 'Pm2 Al2 Cu2 Pt4'
_cell_length_a 3.9362
_cell_length_b 3.9362
_cell_length_c 12.0992
_cell_angle_alpha 90.00
_cell_angle_beta 90.00
_cell_angle_gamma 90.00
_symmetry_space_group_name_H-M 'I -4 m 2'
_symmetry_Int_Tables_number 119
_symmetry_space_group_name_Hall 'I -4 -2'
loop_
_atom_site_label
_atom_site_type_symbol
_atom_site_fract_x
_atom_site_fract_y
_atom_site_fract_z
_atom_site_occupancy
Pm1 Pm 0.0000 0.0000 0.0000 1
Al1 Al 0.0000 0.5000 0.7500 1
Cu1 Cu 0.0000 0.5000 0.2500 1
Pt1 Pt 0.0000 0.0000 0.3865 1
```

Output
energy of formation: -19.89 kcal/mol of atoms
crystal system: tetragonal
raw total energy: -57.97 eV for the cell shown



# Zn3C

A relaxed Zn3C crystal (GGA-PBE, Alexandria via LeMat-Bulk).

```
data_Zn3C
_chemical_formula_sum 'Zn12 C4'
_cell_length_a 5.9562
_cell_length_b 5.9562
_cell_length_c 5.9562
_cell_angle_alpha 90.00
_cell_angle_beta 90.00
_cell_angle_gamma 90.00
_symmetry_space_group_name_H-M 'F m -3 m'
_symmetry_Int_Tables_number 225
_symmetry_space_group_name_Hall '-F 4 2 3'
loop_
_atom_site_label
_atom_site_type_symbol
_atom_site_fract_x
_atom_site_fract_y
_atom_site_fract_z
_atom_site_occupancy
Zn1 Zn 0.0000 0.0000 0.0000 1
Zn2 Zn 0.2500 0.2500 0.2500 1
C1 C 0.0000 0.0000 0.5000 1
```

Output
energy of formation: 25.71 kcal/mol of atoms
crystal system: cubic
raw total energy: -34.34 eV for the cell shown



# La2Cd2Cl

A relaxed La2Cd2Cl crystal (GGA-PBE, Alexandria via LeMat-Bulk).

```
data_La2Cd2Cl
_chemical_formula_sum 'La4 Cd4 Cl2'
_cell_length_a 7.7672
_cell_length_b 7.7672
_cell_length_c 5.2218
_cell_angle_alpha 90.00
_cell_angle_beta 90.00
_cell_angle_gamma 90.00
_symmetry_space_group_name_H-M 'P 4/m b m'
_symmetry_Int_Tables_number 127
_symmetry_space_group_name_Hall '-P 4 2ab'
loop_
_atom_site_label
_atom_site_type_symbol
_atom_site_fract_x
_atom_site_fract_y
_atom_site_fract_z
_atom_site_occupancy
La1 La 0.1618 0.3382 0.0000 1
Cd1 Cd 0.1355 0.6355 0.5000 1
Cl1 Cl 0.0000 0.0000 0.0000 1
```

Output
crystal system: tetragonal
E_form (uncorrected): -704 meV/atom
raw total energy: -34.11 eV for the cell shown
energy relative to the lowest polymorph listed for this composition: 0 meV per atom



# Sc2In2Br

A relaxed Sc2In2Br crystal (GGA-PBE, Alexandria via LeMat-Bulk).

```
data_Sc2In2Br
_chemical_formula_sum 'Sc4 In4 Br2'
_cell_length_a 7.2270
_cell_length_b 7.2270
_cell_length_c 4.6492
_cell_angle_alpha 90.00
_cell_angle_beta 90.00
_cell_angle_gamma 90.00
_symmetry_space_group_name_H-M 'P 4/m b m'
_symmetry_Int_Tables_number 127
_symmetry_space_group_name_Hall '-P 4 2ab'
loop_
_atom_site_label
_atom_site_type_symbol
_atom_site_fract_x
_atom_site_fract_y
_atom_site_fract_z
_atom_site_occupancy
Sc1 Sc 0.1584 0.3416 0.0000 1
In1 In 0.1450 0.6450 0.5000 1
Br1 Br 0.0000 0.0000 0.0000 1
```

Output
crystal system: tetragonal
E_form (uncorrected): -533 meV/atom
raw total energy: -44.95 eV for the cell shown



# K2USn2S6

A relaxed K2USn2S6 crystal (GGA-PBE, Alexandria via LeMat-Bulk).

```
data_K2USn2S6
_chemical_formula_sum 'K4 U2 Sn4 S12'
_cell_length_a 7.2468
_cell_length_b 12.2042
_cell_length_c 7.7533
_cell_angle_alpha 90.00
_cell_angle_beta 108.86
_cell_angle_gamma 90.00
_symmetry_space_group_name_H-M 'C 1 2/m 1'
_symmetry_Int_Tables_number 12
loop_
_symmetry_equiv_pos_as_xyz
'x,y,z'
'-x,-y,-z'
'-x,y,-z'
'x,-y,z'
'x+1/2,y+1/2,z'
'-x+1/2,-y+1/2,-z'
'-x+1/2,y+1/2,-z'
'x+1/2,-y+1/2,z'
loop_
_atom_site_label
_atom_site_type_symbol
_atom_site_fract_x
_atom_site_fract_y
_atom_site_fract_z
_atom_site_occupancy
K1 K 0.0000 0.1757 0.0000 1
U1 U 0.0000 0.0000 0.5000 1
Sn1 Sn 0.0000 0.3302 0.5000 1
S1 S 0.2184 0.1543 0.6942 1
S2 S 0.2251 0.0000 0.3065 1
```

Output
crystal system: monoclinic
E_form (uncorrected): -1012 meV/atom
raw total energy: -114.78 eV for the cell shown



# InHgPbI3

A relaxed InHgPbI3 crystal (GGA-PBE, Alexandria via LeMat-Bulk).

```
data_InHgPbI3
_chemical_formula_sum 'In4 Hg4 Pb4 I12'
_cell_length_a 4.7244
_cell_length_b 17.4333
_cell_length_c 13.2275
_cell_angle_alpha 90.00
_cell_angle_beta 90.00
_cell_angle_gamma 90.00
_symmetry_space_group_name_H-M 'C m c m'
_symmetry_Int_Tables_number 63
_symmetry_space_group_name_Hall '-C 2c 2'
loop_
_atom_site_label
_atom_site_type_symbol
_atom_site_fract_x
_atom_site_fract_y
_atom_site_fract_z
_atom_site_occupancy
In1 In 0.0000 0.1473 0.2500 1
Hg1 Hg 0.0000 0.2283 0.7500 1
Pb1 Pb 0.0000 0.5000 0.0000 1
I1 I 0.0000 0.1283 0.5057 1
I2 I 0.0000 0.4925 0.7500 1
```

Output
crystal system: orthorhombic
E_form (uncorrected): -447 meV/atom
raw total energy: -56.31 eV for the cell shown



Among the records above, which one has the highest raw total energy?
TcRuSe



Which formula does entry 11 have?
K2USn2S6



Which of these has the lowest raw total energy?
K2USn2S6



Which of these has the highest raw total energy?
TcRuSe